Crystalline Cs2TbNdS4 at its relaxed geometry. Source: the Open Quantum Materials Database, functional GGA-PBE.

Cell: 4.177 4.177 16.134 Å, 90.00 90.00 120.00°
Fractional positions:
Cs (0.333, 0.667, 0.248)
Cs (0.667, 0.333, 0.752)
Tb (0.000, 0.000, 0.000)
Nd (0.000, 0.000, 0.500)
S (0.333, 0.667, 0.596)
S (0.333, 0.667, 0.910)
S (0.667, 0.333, 0.090)
S (0.667, 0.333, 0.404)

* uncorrected energy: -42.2 eV per cell